Material: Zr3ReN
Method: DFT, GGA-PBE
State: optimized geometry

As for the space-group type: No. 221. Its volume is 88 Å³ per cell. Its formation energy (no corrections) is -588.4 meV per atom. For the raw total energy, the calculation gives -49.36 eV for the cell shown.

abc: 4.443 4.443 4.443
angles: 90.00 90.00 90.00
Fractional coordinates of all 5 atoms:
Re  0.500  0.500  0.500
Zr  0.000  0.500  0.000
Zr  0.000  0.000  0.500
Zr  0.500  0.000  0.000
N  0.000  0.000  0.000